[1]
HoZn4Au2: relaxed, PBE.

## Properties
For the total magnetic moment, the calculation gives 0.00 μB per cell. For the energy above the lowest structure with this stoichiometry, the calculation gives 17 meV/atom. Its total energy is -2.70 eV/atom. Its calculated formation energy is -8.7 kcal/mol of atoms.

```
data_HoZn4Au2
_space_group_name_H-M_alt 'C m m m'
_space_group_IT_number 65
_space_group_name_Hall '-C 2 2'
_cell_length_a 3.954
_cell_length_b 17.134
_cell_length_c 3.787
_cell_angle_alpha 90.00
_cell_angle_beta 90.00
_cell_angle_gamma 90.00
loop_
_atom_site_label
_atom_site_fract_x
_atom_site_fract_y
_atom_site_fract_z
Ho1 0.000 0.000 0.000
Zn1 0.000 0.187 0.500
Zn2 0.000 0.306 0.000
Au1 0.000 0.419 0.500
```

***

[2]
Tm5Ge3C: relaxed, PBE.

## Properties
For the total magnetic moment, the calculation gives 0.00 μB per cell. Its total energy is -5.80 eV/atom. Its calculated formation energy is -17.3 kcal/mol of atoms.

```
data_Tm5Ge3C
_space_group_name_H-M_alt 'P 63/m c m'
_space_group_IT_number 193
_space_group_name_Hall '-P 6c 2'
_cell_length_a 8.3704
_cell_length_b 8.3704
_cell_length_c 6.3765
_cell_angle_alpha 90.00
_cell_angle_beta 90.00
_cell_angle_gamma 120.00
loop_
_atom_site_label
_atom_site_fract_x
_atom_site_fract_y
_atom_site_fract_z
Tm1 0.0000 0.2205 0.2500
Tm2 0.3333 0.6667 0.0000
Ge1 0.0000 0.4104 0.7500
C1 0.0000 0.0000 0.0000
```

***

[3]
CaTl2Ni2: relaxed, PBE.

## Properties
For the total magnetic moment, the calculation gives 0.00 μB per cell. For the energy above the lowest structure with this stoichiometry, the calculation gives 25 meV/atom. Its total energy is -3.62 eV/atom. Its calculated formation energy is 1.0 kcal/mol of atoms.

```
data_CaTl2Ni2
_space_group_name_H-M_alt 'I 4/m m m'
_space_group_IT_number 139
_space_group_name_Hall '-I 4 2'
_cell_length_a 4.064
_cell_length_b 4.064
_cell_length_c 12.882
_cell_angle_alpha 90.00
_cell_angle_beta 90.00
_cell_angle_gamma 90.00
loop_
_atom_site_label
_atom_site_fract_x
_atom_site_fract_y
_atom_site_fract_z
Ca1 0.000 0.000 0.000
Tl1 0.000 0.000 0.377
Ni1 0.000 0.500 0.250
```

***

[4]
BaNaLi3: relaxed, PBE.

## Properties
For the total magnetic moment, the calculation gives 0.00 μB per cell. For the energy above the lowest structure with this stoichiometry, the calculation gives 626 meV/atom. Its total energy is -1.07 eV/atom. Its calculated formation energy is 16.8 kcal/mol of atoms.

```
data_BaNaLi3
_space_group_name_H-M_alt 'P m -3 m'
_space_group_IT_number 221
_space_group_name_Hall '-P 4 2 3'
_cell_length_a 6.249
_cell_length_b 6.249
_cell_length_c 6.249
_cell_angle_alpha 90.00
_cell_angle_beta 90.00
_cell_angle_gamma 90.00
loop_
_atom_site_label
_atom_site_fract_x
_atom_site_fract_y
_atom_site_fract_z
Ba1 0.000 0.000 0.000
Na1 0.500 0.500 0.500
Li1 0.000 0.000 0.500
```

***

[5]
KFeHgBr2: relaxed, PBE.

## Properties
For the total magnetic moment, the calculation gives 3.71 μB per cell. Its total energy is -2.67 eV/atom. As for the formation energy (no corrections): -0.0247 eV/atom.

```
data_KFeHgBr2
_space_group_name_H-M_alt 'P 4/m m m'
_space_group_IT_number 123
_space_group_name_Hall '-P 4 2'
_cell_length_a 6.083
_cell_length_b 6.083
_cell_length_c 5.117
_cell_angle_alpha 90.00
_cell_angle_beta 90.00
_cell_angle_gamma 90.00
loop_
_atom_site_label
_atom_site_fract_x
_atom_site_fract_y
_atom_site_fract_z
K1 0.000 0.000 0.000
Fe1 0.500 0.500 0.000
Hg1 0.500 0.500 0.500
Br1 0.000 0.500 0.500
```

***

[6]
Be3RuPb: relaxed, PBE.

## Properties
For the total magnetic moment, the calculation gives 1.49 μB per cell. For the energy above the lowest structure with this stoichiometry, the calculation gives 1347 meV/atom. Its total energy is -3.01 eV/atom. Its calculated formation energy is 42.0 kcal/mol of atoms.

```
data_Be3RuPb
_space_group_name_H-M_alt 'P m -3 m'
_space_group_IT_number 221
_space_group_name_Hall '-P 4 2 3'
_cell_length_a 4.488
_cell_length_b 4.488
_cell_length_c 4.488
_cell_angle_alpha 90.00
_cell_angle_beta 90.00
_cell_angle_gamma 90.00
loop_
_atom_site_label
_atom_site_fract_x
_atom_site_fract_y
_atom_site_fract_z
Be1 0.000 0.000 0.500
Ru1 0.500 0.500 0.500
Pb1 0.000 0.000 0.000
```